Entry from the Alexandria database: a relaxed structure of Ni2GeRh2 (GGA-PBE).

Geometry as extended XYZ:
```
10
Lattice="-5.9877 0.1460 -1.7263 -1.1139 -5.0815 3.4338 -0.7938 2.1577 2.9357" Properties=species:S:1:pos:R:3 pbc="T T T"
Rh -1.2709 -1.7750 0.9610
Rh -5.8307 -3.1605 0.7465
Rh -4.0342 -0.6500 -0.6130
Rh -3.0674 -4.2855 2.3205
Ni -5.2135 -3.1693 3.2879
Ni -1.9867 -2.1797 3.4330
Ni -2.6819 0.3916 1.3552
Ni -5.9086 -0.5980 1.2101
Ge 0.0000 0.0000 0.0000
Ge -3.5508 -2.4677 0.8537
```

Values from the calculation:
Fermi-level density of states = 1.083 states/eV per atom
Formation energy = 0.04 eV/atom